! Pm12Tl5Hg2, optimized geometry, DFT PBE; values from VASP
! E   -3.8182 eV/atom
! ΔE_f   -0.16 eV per atom
! Magnetization   0.00 μB/f.u.
&SYSTEM
  ibrav = 0, nat = 19, ntyp = 3
/
ATOMIC_SPECIES
Pm 145.00 Pm.upf
Tl 204.38 Tl.upf
Hg 200.59 Hg.upf
ATOMIC_POSITIONS crystal
Pm 0.959 0.919 0.191
Pm 0.076 0.672 0.915
Pm 0.596 0.672 0.915
Pm 0.103 0.700 0.501
Pm 0.598 0.700 0.501
Pm 0.494 0.988 0.692
Pm 0.506 0.012 0.308
Pm 0.897 0.300 0.499
Pm 0.402 0.300 0.499
Pm 0.924 0.328 0.085
Pm 0.404 0.328 0.085
Pm 0.041 0.081 0.809
Tl 0.229 0.458 0.747
Tl 0.305 0.610 0.231
Tl 0.000 0.000 0.500
Tl 0.695 0.390 0.769
Tl 0.771 0.542 0.253
Hg 0.683 0.000 0.000
Hg 0.317 0.000 0.000
CELL_PARAMETERS angstrom
-7.062 1.096 -2.396
5.802 -3.335 -6.769
-1.898 -9.008 1.475

=====

! Np2Zn15Tc2, optimized geometry, DFT PBE; values from VASP
! E   -3.4592 eV/atom
! ΔE_f   0.00 eV per atom
! Magnetization   8.98 μB/f.u.
&SYSTEM
  ibrav = 0, nat = 19, ntyp = 3
/
ATOMIC_SPECIES
Np 237.00 Np.upf
Zn 65.41 Zn.upf
Tc 98.00 Tc.upf
ATOMIC_POSITIONS crystal
Np 0.340 0.340 0.340
Np 0.660 0.660 0.660
Zn 0.000 0.500 0.000
Zn 0.000 0.000 0.500
Zn 0.500 0.000 0.000
Zn 0.709 0.000 0.291
Zn 0.291 0.709 0.000
Zn 0.000 0.291 0.709
Zn 0.709 0.291 0.000
Zn 0.000 0.709 0.291
Zn 0.291 0.000 0.709
Zn 0.650 0.151 0.650
Zn 0.650 0.650 0.151
Zn 0.151 0.650 0.650
Zn 0.350 0.849 0.350
Zn 0.350 0.350 0.849
Zn 0.849 0.350 0.350
Tc 0.094 0.094 0.094
Tc 0.906 0.906 0.906
CELL_PARAMETERS angstrom
-1.873 0.959 6.419
1.109 -6.354 2.009
6.223 1.098 2.387

=====

! CeTl2Pd, optimized geometry, DFT PBE; values from VASP
! E   -4.2284 eV/atom
! ΔE_f   -0.26 eV per atom
! Polymorph energy (0 for the lowest one)   122.8 meV/atom
! Magnetization   0.75 μB/f.u.
&SYSTEM
  ibrav = 0, nat = 4, ntyp = 3
/
ATOMIC_SPECIES
Tl 204.38 Tl.upf
Pd 106.42 Pd.upf
Ce 140.12 Ce.upf
ATOMIC_POSITIONS crystal
Tl 0.250 0.250 0.250
Tl 0.750 0.750 0.750
Pd 0.500 0.500 0.500
Ce 0.000 0.000 0.000
CELL_PARAMETERS angstrom
5.127 0.000 0.000
2.563 4.440 0.000
2.563 1.480 4.186

=====

! ThTe4Pt, optimized geometry, DFT PBE; values from VASP
! Energy relative to the elements, uncorrected   -0.538 eV per atom
! E   -4.8761 eV/atom
! Magnetization   0.00 μB/f.u.
&SYSTEM
  ibrav = 0, nat = 12, ntyp = 3
/
ATOMIC_SPECIES
Th 232.04 Th.upf
Te 127.60 Te.upf
Pt 195.08 Pt.upf
ATOMIC_POSITIONS crystal
Th 0.000 0.000 0.000
Th 0.500 0.500 0.000
Te 0.893 0.650 0.179
Te 0.607 0.150 0.821
Te 0.258 0.280 0.325
Te 0.242 0.780 0.675
Te 0.107 0.350 0.821
Te 0.393 0.850 0.179
Te 0.742 0.720 0.675
Te 0.758 0.220 0.325
Pt 0.500 0.000 0.500
Pt 0.000 0.500 0.500
CELL_PARAMETERS angstrom
-1.238 -4.235 5.567
6.611 1.598 2.686
-2.658 6.197 2.854

=====

! La2Pm12Er5, optimized geometry, DFT PBE; values from VASP
! E   -4.5868 eV/atom
! ΔE_f   0.13 eV per atom
! Polymorph energy (0 for the lowest one)   7.5 meV/atom
! Magnetization   0.00 μB/f.u.
&SYSTEM
  ibrav = 0, nat = 19, ntyp = 3
/
ATOMIC_SPECIES
La 138.91 La.upf
Pm 145.00 Pm.upf
Er 167.26 Er.upf
ATOMIC_POSITIONS crystal
La 0.677 0.000 0.000
La 0.323 0.000 0.000
Pm 0.090 0.179 0.298
Pm 0.024 0.689 0.927
Pm 0.665 0.689 0.927
Pm 0.182 0.749 0.409
Pm 0.567 0.749 0.409
Pm 0.565 0.130 0.794
Pm 0.435 0.870 0.206
Pm 0.818 0.251 0.591
Pm 0.433 0.251 0.591
Pm 0.976 0.311 0.073
Pm 0.335 0.311 0.073
Pm 0.910 0.821 0.702
Er 0.300 0.600 0.618
Er 0.230 0.460 0.889
Er 0.000 0.000 0.500
Er 0.770 0.540 0.111
Er 0.700 0.400 0.382
CELL_PARAMETERS angstrom
9.380 0.000 0.000
-4.690 11.577 -1.820
0.000 -5.396 6.847

=====

! Zn3TcTe, optimized geometry, DFT PBE; values from VASP
! Energy relative to the elements, uncorrected   0.782 eV per atom
! E   -2.6837 eV/atom
! Polymorph energy (0 for the lowest one)   0.0 meV/atom
! Magnetization   2.32 μB/f.u.
&SYSTEM
  ibrav = 0, nat = 5, ntyp = 3
/
ATOMIC_SPECIES
Zn 65.41 Zn.upf
Te 127.60 Te.upf
Tc 98.00 Tc.upf
ATOMIC_POSITIONS crystal
Zn 0.000 0.500 0.000
Zn 0.000 0.000 0.500
Zn 0.500 0.000 0.000
Te 0.500 0.500 0.500
Tc 0.000 0.000 0.000
CELL_PARAMETERS angstrom
4.918 0.000 0.000
0.000 4.918 0.000
0.000 0.000 4.918

=====

! TbHo4Pu, optimized geometry, DFT PBE; values from VASP
! E   -6.0851 eV/atom
! ΔE_f   0.13 eV per atom
! Polymorph energy (0 for the lowest one)   80.1 meV/atom
! Magnetization   6.65 μB/f.u.
&SYSTEM
  ibrav = 0, nat = 12, ntyp = 3
/
ATOMIC_SPECIES
Tb 158.93 Tb.upf
Ho 164.93 Ho.upf
Pu 244.00 Pu.upf
ATOMIC_POSITIONS crystal
Tb 0.665 0.740 0.330
Tb 0.335 0.240 0.670
Ho 0.982 0.179 0.963
Ho 0.018 0.679 0.037
Ho 0.471 0.964 0.941
Ho 0.529 0.464 0.059
Ho 0.825 0.455 0.650
Ho 0.175 0.955 0.350
Ho 0.673 0.182 0.345
Ho 0.327 0.682 0.655
Pu 0.863 0.913 0.726
Pu 0.137 0.413 0.274
CELL_PARAMETERS angstrom
5.578 0.000 0.000
0.000 10.978 0.000
-2.789 0.000 5.959

=====

! Co2NiPd4, optimized geometry, DFT PBE; values from VASP
! E   -5.5742 eV/atom
! ΔE_f   0.25 eV per atom
! Magnetization   6.06 μB/f.u.
&SYSTEM
  ibrav = 0, nat = 7, ntyp = 3
/
ATOMIC_SPECIES
Co 58.93 Co.upf
Ni 58.69 Ni.upf
Pd 106.42 Pd.upf
ATOMIC_POSITIONS crystal
Co 0.000 0.500 0.500
Co 0.500 0.500 0.500
Ni 0.000 0.000 0.000
Pd 0.500 0.500 0.000
Pd 0.000 0.000 0.500
Pd 0.500 0.000 0.500
Pd 0.000 0.500 0.000
CELL_PARAMETERS angstrom
-0.274 5.716 0.372
-2.994 2.927 -2.972
-3.290 2.522 3.031

=====

! HfGeN2F, optimized geometry, DFT PBE; values from VASP
! Energy relative to the elements, uncorrected   -0.652 eV per atom
! E   -7.2706 eV/atom
! Polymorph energy (0 for the lowest one)   0.0 meV/atom
! Magnetization   0.00 μB/f.u.
&SYSTEM
  ibrav = 0, nat = 5, ntyp = 4
/
ATOMIC_SPECIES
Ge 72.64 Ge.upf
N 14.01 N.upf
Hf 178.49 Hf.upf
F 19.00 F.upf
ATOMIC_POSITIONS crystal
Ge 0.500 0.500 0.500
N 0.000 0.500 0.000
N 0.500 0.000 0.000
Hf 0.000 0.000 0.000
F 0.000 0.000 0.500
CELL_PARAMETERS angstrom
4.219 0.000 0.000
0.000 4.219 0.000
0.000 0.000 4.066

=====

! Sm7Y3Tm, optimized geometry, DFT PBE; values from VASP
! E   -5.0432 eV/atom
! ΔE_f   0.13 eV per atom
! Polymorph energy (0 for the lowest one)   0.0 meV/atom
! Magnetization   0.00 μB/f.u.
&SYSTEM
  ibrav = 0, nat = 11, ntyp = 3
/
ATOMIC_SPECIES
Sm 150.36 Sm.upf
Y 88.91 Y.upf
Tm 168.93 Tm.upf
ATOMIC_POSITIONS crystal
Sm 0.912 0.829 0.912
Sm 0.817 0.640 0.317
Sm 0.647 0.294 0.147
Sm 0.353 0.706 0.853
Sm 0.500 0.000 0.500
Sm 0.183 0.360 0.683
Sm 0.088 0.171 0.088
Y 0.220 0.999 0.720
Y 0.000 0.500 0.000
Y 0.780 0.001 0.280
Tm 0.500 0.500 0.500
CELL_PARAMETERS angstrom
8.527 -0.800 -2.918
-2.322 9.738 -0.627
-1.906 -0.113 5.285

=====

! PdRhAu, optimized geometry, DFT PBE; values from VASP
! E   -5.1767 eV/atom
! ΔE_f   0.10 eV per atom
! Polymorph energy (0 for the lowest one)   0.0 meV/atom
! Magnetization   0.70 μB/f.u.
&SYSTEM
  ibrav = 0, nat = 3, ntyp = 3
/
ATOMIC_SPECIES
Rh 102.91 Rh.upf
Au 196.97 Au.upf
Pd 106.42 Pd.upf
ATOMIC_POSITIONS crystal
Rh 0.667 0.333 0.326
Au 0.333 0.667 0.665
Pd 0.000 0.000 0.009
CELL_PARAMETERS angstrom
2.820 0.000 0.000
-1.410 2.442 0.000
0.000 0.000 6.908

=====

! TaAl2NiSn, optimized geometry, DFT PBE; values from VASP
! E   -4.3650 eV/atom
! ΔE_f   1.46 eV per atom
! Magnetization   0.00 μB/f.u.
&SYSTEM
  ibrav = 0, nat = 5, ntyp = 4
/
ATOMIC_SPECIES
Ni 58.69 Ni.upf
Al 26.98 Al.upf
Sn 118.71 Sn.upf
Ta 180.95 Ta.upf
ATOMIC_POSITIONS crystal
Ni 0.000 0.500 0.000
Al 0.000 0.000 0.500
Al 0.500 0.000 0.000
Sn 0.000 0.000 0.000
Ta 0.500 0.500 0.500
CELL_PARAMETERS angstrom
4.986 0.000 0.000
0.000 4.515 0.000
0.000 0.000 4.986